# 1
Here is an optimized crystal structure of NdPbSe3 from Alexandria. Energies are from GGA-PBE.

Cell lengths 7.3002, 7.3002, 7.4827 Å; angles 90.00, 90.00, 120.00 degrees
With the nearest neighbours (Å) after each atom.
Space group P-6c2 (No. 188)
Asymmetric unit:
Nd1 0.0000 0.0000 0.0000  6 Se 2.97
Pb1 0.3333 0.6667 0.0000  6 Se 3.03
Se1 0.0241 0.3267 0.2500  2 Nd 2.97, 2 Pb 3.03

Calculated values
Magnetic moment = 0.000 μB per atom
Electronic total energy = -47.10 eV per cell
Formation energy without anion corrections = -924 meV/atom
Fermi-level density of states = 4.57 states/eV/f.u.

=====

# 2
Here is an optimized crystal structure of PmScAlCu from Alexandria. Energies are from GGA-PBE.

Cell lengths 7.0236, 7.0236, 7.0236 Å; angles 90.00, 90.00, 90.00 degrees
With the nearest neighbours (Å) after each atom.
Space group F-43m (No. 216)
Asymmetric unit:
Pm1 0.0000 0.0000 0.0000  4 Al 3.04, 4 Cu 3.04
Sc1 0.0000 0.0000 0.5000  4 Cu 3.04, 4 Al 3.04
Al1 0.2500 0.2500 0.7500  4 Pm 3.04, 4 Sc 3.04
Cu1 0.2500 0.2500 0.2500  4 Pm 3.04, 4 Sc 3.04

Calculated values
Magnetic moment = 0.000 μB per atom
Electronic total energy = -79.71 eV per cell
E_form = -252 meV per atom
Fermi-level density of states = 4.04 states/eV/f.u.

=====

# 3
Here is an optimized crystal structure of KNaCo2Br8 from Alexandria. Energies are from GGA-PBE.

Cell lengths 6.9091, 6.9091, 29.4498 Å; angles 90.00, 90.00, 120.00 degrees
With the nearest neighbours (Å) after each atom.
Space group R-3 (No. 148, hexagonal axes)
Asymmetric unit:
K1 0.0000 0.0000 0.0000  12 Br 3.82-3.99
Na1 0.0000 0.0000 0.5000  6 Br 3.06
Co1 0.0000 0.0000 0.2527  4 Br 2.32-2.33
Br1 0.0000 0.0000 0.3315  1 Co 2.32
Br2 0.0012 0.6432 0.4385  1 Co 2.33

Calculated values
Magnetic moment = 0.668 μB per atom
Electronic total energy = -115.66 eV per cell
Formation energy without anion corrections = -712 meV/atom
Fermi-level density of states = 12.53 states/eV/f.u.

=====

# 4
Here is an optimized crystal structure of Tb2Sc6Tl from Alexandria. Energies are from GGA-PBE.

Cell lengths 3.2973, 9.6061, 14.9099 Å; angles 90.00, 90.00, 90.00 degrees
With the nearest neighbours (Å) after each atom.
Space group Immm (No. 71)
Asymmetric unit:
Tb1 0.0000 0.0000 0.1482  10 Sc 3.27-3.44, 2 Tb 3.30
Sc1 0.0000 0.2883 0.5000  2 Tl 3.22, 6 Sc 3.30-3.36, 4 Tb 3.43
Sc2 0.0000 0.3367 0.1790  1 Tl 3.10, 7 Sc 3.14-3.36, 3 Tb 3.27-3.44
Tl1 0.0000 0.5000 0.0000  8 Sc 3.10-3.22, 2 Tl 3.30

Calculated values
Magnetic moment = 0.000 μB per atom
Electronic total energy = -98.77 eV per cell
E_form = 26 meV per atom
Fermi-level density of states = 12.81 states/eV/f.u.

=====

# 5
Here is an optimized crystal structure of ScHF2 from Alexandria. Energies are from GGA-PBE.

Cell lengths 3.5355, 3.5355, 18.4487 Å; angles 90.00, 90.00, 120.00 degrees
With the nearest neighbours (Å) after each atom.
Space group R-3m (No. 166, hexagonal axes)
Asymmetric unit:
Sc1 0.0000 0.0000 0.0000  2 F 1.88
H1 0.0000 0.0000 0.5000  6 F 2.36
F1 0.0000 0.0000 0.1019  1 Sc 1.88

Calculated values
Magnetic moment = 0.145 μB per atom
Electronic total energy = -54.86 eV per cell
Fermi-level density of states = 3.13 states/eV/f.u.
Distance to the lowest polymorph of the same formula = 405.5 kJ/mol of formula units

=====

# 6
Here is an optimized crystal structure of CrHgI2N from Alexandria. Energies are from GGA-PBE.

Cell lengths 6.2105, 6.2105, 3.9621 Å; angles 90.00, 90.00, 90.00 degrees
With the nearest neighbours (Å) after each atom.
Space group P4/mmm (No. 123)
Asymmetric unit:
Cr1 0.0000 0.0000 0.0000  8 I 3.68, 2 Cr 3.96
Hg1 0.5000 0.5000 0.5000  2 N 1.98
I1 0.0000 0.5000 0.5000  2 Hg 3.11
N1 0.5000 0.5000 0.0000  2 Hg 1.98

Calculated values
Magnetic moment = 0.936 μB per atom
Electronic total energy = -15.25 eV per cell
Formation energy without anion corrections = 1221 meV/atom
Fermi-level density of states = 8.44 states/eV/f.u.
Distance to the lowest polymorph of the same formula = 508.9 kJ/mol of formula units

=====

# 7
Here is an optimized crystal structure of MnCdHSe2 from Alexandria. Energies are from GGA-PBE.

Cell lengths 3.1139, 9.0995, 3.5109 Å; angles 90.00, 116.23, 90.00 degrees
With the nearest neighbours (Å) after each atom.
Space group Pm (No. 6)
Asymmetric unit:
Mn1 0.0000 0.0000 0.0000  2 H 1.71
Cd1 0.4673 0.5000 0.9274  2 Se 3.09, 2 Cd 3.11
H1 0.6110 0.0000 0.2223  2 Mn 1.71
Se1 0.3107 0.1778 0.6229  3 H 2.49-2.58, 3 Mn 2.54

Calculated values
Magnetic moment = 0.447 μB per atom
Electronic total energy = -20.72 eV per cell
Fermi-level density of states = 1.33 states/eV/f.u.
Distance to the lowest polymorph of the same formula = 95.3 kJ/mol of formula units

=====

# 8
Here is an optimized crystal structure of HoSi2O6 from Alexandria. Energies are from GGA-PBE.

Cell lengths 10.4315, 9.7093, 5.4565 Å; angles 90.00, 107.59, 90.00 degrees
With the nearest neighbours (Å) after each atom.
Space group C2/c (No. 15)
Asymmetric unit:
Ho1 0.0000 0.1180 0.2500  6 O 2.22-2.32
Si1 0.2101 0.4272 0.2548  4 O 1.62-1.66
O1 0.1264 0.0561 0.6451  1 Si 1.63
O2 0.1483 0.4975 0.9677  2 Si 1.65-1.66
O3 0.1550 0.2699 0.2298  1 Si 1.62

Calculated values
Magnetic moment = 0.115 μB per atom
Electronic total energy = -279.32 eV per cell
Formation energy without anion corrections = -2740 meV/atom
Fermi-level density of states = 4.24 states/eV/f.u.